1.
The following is a meta-GGA SCAN calculation of Na2VSiCO7 at its PBEsol-relaxed geometry, from Alexandria via LeMat-Bulk.

## Properties
Magnetization   1.0 μB/f.u.
ρ   2.70 Mg/m³
Calculated total energy   -235.1 eV/cell
Crystal system   monoclinic

abc: 5.281 6.501 8.942
angles: 90.00 92.27 90.00
Atoms (fractional coordinates):
Na 0.735 0.498 0.276
Na 0.735 0.002 0.276
Na 0.265 0.502 0.724
Na 0.265 0.998 0.724
V 0.297 0.750 0.145
V 0.703 0.250 0.855
Si 0.221 0.250 0.070
Si 0.779 0.750 0.930
C 0.225 0.750 0.418
C 0.775 0.250 0.582
O 0.817 0.250 0.445
O 0.183 0.750 0.555
O 0.450 0.750 0.363
O 0.550 0.250 0.637
O 0.044 0.750 0.312
O 0.956 0.250 0.688
O 0.626 0.750 0.088
O 0.374 0.250 0.912
O 0.915 0.250 0.023
O 0.085 0.750 0.977
O 0.294 0.044 0.164
O 0.294 0.456 0.164
O 0.706 0.544 0.836
O 0.706 0.956 0.836


2.
The following is a meta-GGA SCAN calculation of Na2SnC4O8 at its PBEsol-relaxed geometry, from Alexandria via LeMat-Bulk.

## Properties
Magnetization   0.0 μB/f.u.
ρ   3.01 Mg/m³
Calculated total energy   -312.9 eV/cell
Crystal system   monoclinic

abc: 5.676 5.904 13.130
angles: 81.09 77.52 61.27
Atoms (fractional coordinates):
Na 0.797 0.824 0.551
Na 0.203 0.176 0.449
Na 0.173 0.676 0.949
Na 0.827 0.324 0.051
Sn 0.165 0.250 0.750
Sn 0.835 0.750 0.250
C 0.362 0.179 0.135
C 0.323 0.679 0.635
C 0.677 0.321 0.365
C 0.602 0.085 0.890
C 0.398 0.915 0.110
C 0.638 0.821 0.865
C 0.577 0.415 0.610
C 0.423 0.585 0.390
O 0.111 0.671 0.688
O 0.343 0.880 0.599
O 0.763 0.084 0.942
O 0.889 0.329 0.312
O 0.452 0.788 0.359
O 0.657 0.120 0.401
O 0.599 0.712 0.141
O 0.211 0.584 0.442
O 0.548 0.212 0.641
O 0.789 0.416 0.558
O 0.401 0.288 0.859
O 0.530 0.171 0.188
O 0.470 0.829 0.812
O 0.177 0.380 0.099
O 0.823 0.620 0.901
O 0.237 0.916 0.058


3.
The following is a meta-GGA SCAN calculation of Na4UC3O11 at its PBEsol-relaxed geometry, from Alexandria via LeMat-Bulk.

## Properties
Magnetization   0.0 μB/f.u.
ρ   3.70 Mg/m³
Calculated total energy   -1041.0 eV/cell
Crystal system   trigonal

abc: 9.318 9.318 12.954
angles: 90.00 90.00 120.00
Atoms (fractional coordinates):
Na 0.308 0.438 0.125
Na 0.130 0.692 0.125
Na 0.562 0.870 0.125
Na 0.438 0.308 0.375
Na 0.692 0.130 0.375
Na 0.870 0.562 0.375
Na 0.692 0.562 0.875
Na 0.870 0.308 0.875
Na 0.438 0.130 0.875
Na 0.562 0.692 0.625
Na 0.308 0.870 0.625
Na 0.130 0.438 0.625
Na 0.000 0.000 0.500
Na 0.000 0.000 0.000
Na 0.000 0.000 0.250
Na 0.000 0.000 0.750
U 0.333 0.667 0.371
U 0.667 0.333 0.129
U 0.667 0.333 0.629
U 0.333 0.667 0.871
C 0.747 0.671 0.128
C 0.923 0.253 0.128
C 0.329 0.077 0.128
C 0.671 0.747 0.372
C 0.253 0.923 0.372
C 0.077 0.329 0.372
C 0.253 0.329 0.872
C 0.077 0.747 0.872
C 0.671 0.923 0.872
C 0.329 0.253 0.628
C 0.747 0.077 0.628
C 0.923 0.671 0.628
O 0.377 0.234 0.142
O 0.856 0.623 0.142
O 0.766 0.144 0.142
O 0.234 0.377 0.358
O 0.623 0.856 0.358
O 0.144 0.766 0.358
O 0.623 0.766 0.858
O 0.144 0.377 0.858
O 0.234 0.856 0.858
O 0.766 0.623 0.642
O 0.377 0.144 0.642
O 0.856 0.234 0.642
O 0.595 0.548 0.119
O 0.952 0.405 0.119
O 0.452 0.048 0.119
O 0.548 0.595 0.381
O 0.405 0.952 0.381
O 0.048 0.452 0.381
O 0.405 0.452 0.881
O 0.048 0.595 0.881
O 0.548 0.952 0.881
O 0.452 0.405 0.619
O 0.595 0.048 0.619
O 0.952 0.548 0.619
O 0.785 0.821 0.123
O 0.035 0.215 0.123
O 0.179 0.965 0.123
O 0.821 0.785 0.377
O 0.215 0.035 0.377
O 0.965 0.179 0.377
O 0.215 0.179 0.877
O 0.965 0.785 0.877
O 0.821 0.035 0.877
O 0.179 0.215 0.623
O 0.785 0.965 0.623
O 0.035 0.821 0.623
O 0.333 0.667 0.514
O 0.667 0.333 0.986
O 0.667 0.333 0.486
O 0.333 0.667 0.014
O 0.333 0.667 0.227
O 0.667 0.333 0.273
O 0.667 0.333 0.773
O 0.333 0.667 0.727